(1)
Compound: BaHfC3
Source: Alexandria
Functional: PBE-GGA
Structure: relaxed

Cell lengths 4.422, 4.422, 4.422 Å; angles 90.00, 90.00, 90.00 degrees
Fractional positions:
1 C 0.000 0.500 0.000
2 C 0.000 0.000 0.500
3 C 0.500 0.000 0.000
4 Hf 0.500 0.500 0.500
5 Ba 0.000 0.000 0.000

## Properties
Space-group type: Pm-3m (221)
ΔE to the lowest computed polymorph, eV/atom: 2.106
Total magnetic moment, Bohr magnetons per cell: 0.00

(2)
Compound: BaHfC3
Source: Alexandria
Functional: PBE-GGA
Structure: relaxed

Cell lengths 4.441, 4.441, 4.441 Å; angles 90.00, 90.00, 90.00 degrees
Fractional positions:
1 C 0.000 0.500 0.000
2 C 0.000 0.000 0.500
3 C 0.500 0.000 0.000
4 Hf 0.000 0.000 0.000
5 Ba 0.500 0.500 0.500

## Properties
Space-group type: Pm-3m (221)
ΔE to the lowest computed polymorph, eV/atom: 0.000
Total magnetic moment, Bohr magnetons per cell: 0.00

(3)
Compound: Ba2HfMoC
Source: Alexandria
Functional: PBE-GGA
Structure: relaxed

Cell lengths 6.559, 6.559, 4.155 Å; angles 90.00, 90.00, 90.00 degrees
Fractional positions:
1 C 0.000 0.000 0.500
2 Mo 0.500 0.500 0.500
3 Hf 0.000 0.000 0.000
4 Ba 0.000 0.500 0.000
5 Ba 0.500 0.000 0.000

## Properties
Space-group type: P4/mmm (123)
Total magnetic moment, Bohr magnetons per cell: 4.53

(4)
Compound: Ba2HfPC
Source: Alexandria
Functional: PBE-GGA
Structure: relaxed

Cell lengths 5.748, 4.388, 5.748 Å; angles 90.00, 90.00, 90.00 degrees
Fractional positions:
1 P 0.500 0.500 0.500
2 C 0.000 0.000 0.000
3 Hf 0.000 0.500 0.000
4 Ba 0.000 0.000 0.500
5 Ba 0.500 0.000 0.000

## Properties
Space-group type: P4/mmm (123)
Total magnetic moment, Bohr magnetons per cell: 0.00

(5)
Compound: BaHf2ReC
Source: Alexandria
Functional: PBE-GGA
Structure: relaxed

Cell lengths 4.895, 4.055, 4.895 Å; angles 90.00, 90.00, 90.00 degrees
Fractional positions:
1 Re 0.000 0.500 0.000
2 C 0.000 0.000 0.000
3 Hf 0.000 0.000 0.500
4 Hf 0.500 0.000 0.000
5 Ba 0.500 0.500 0.500

## Properties
Space-group type: P4/mmm (123)
Total magnetic moment, Bohr magnetons per cell: 0.00

(6)
Compound: BaHfTlC2
Source: Alexandria
Functional: PBE-GGA
Structure: relaxed

Cell lengths 4.720, 5.976, 4.720 Å; angles 90.00, 90.00, 90.00 degrees
Fractional positions:
1 C 0.000 0.000 0.500
2 C 0.500 0.000 0.000
3 Tl 0.500 0.500 0.500
4 Hf 0.000 0.500 0.000
5 Ba 0.000 0.000 0.000

## Properties
Space-group type: P4/mmm (123)
Total magnetic moment, Bohr magnetons per cell: 0.24

(7)
Compound: BaHgC
Source: Alexandria
Functional: PBE-GGA
Structure: relaxed

Cell lengths 7.158, 6.219, 6.724 Å; angles 90.00, 90.00, 90.00 degrees
Fractional positions:
1 C 0.180 0.250 0.572
2 C 0.320 0.750 0.072
3 C 0.820 0.750 0.428
4 C 0.680 0.250 0.928
5 Hg 0.958 0.250 0.804
6 Hg 0.542 0.750 0.304
7 Hg 0.042 0.750 0.196
8 Hg 0.458 0.250 0.696
9 Ba 0.831 0.250 0.333
10 Ba 0.669 0.750 0.833
11 Ba 0.169 0.750 0.667
12 Ba 0.331 0.250 0.167

## Properties
Space-group type: Pnma (62)
Total magnetic moment, Bohr magnetons per cell: 0.00

(8)
Compound: BaHgC
Source: Alexandria
Functional: PBE-GGA
Structure: relaxed

Cell lengths 4.391, 4.685, 10.175 Å; angles 107.43, 77.21, 116.10 degrees
Fractional positions:
1 C 0.022 0.105 0.200
2 C 0.186 0.331 0.134
3 Ba 0.690 0.593 0.350
4 Ba 0.519 0.843 0.984
5 Hg 0.251 0.073 0.734
6 Hg 0.958 0.363 0.601

## Properties
Space-group type: P-1 (2)
Total magnetic moment, Bohr magnetons per cell: 0.00

For the records above, the corresponding ΔE_f values read 3.175, 1.069, 1.592, 0.163, 0.442, 2.880, 0.572, -0.130 eV/atom.